Entry from the Alexandria database: crystalline LaCe2ReN4 at its relaxed geometry (GGA-PBE).

Properties
**D(E_F)**: 4.229 states/eV/f.u.
**Formation energy without anion corrections**: -1.045 eV/atom
**SG**: Cmcm, No. 63
**Theoretical density**: 8.858 Mg/m³

```
data_LaCe2ReN4
_chemical_formula_sum 'La2 Ce4 Re2 N8'
_symmetry_space_group_name_H-M 'P 1'
_symmetry_Int_Tables_number 1
_cell_length_a 3.459
_cell_length_b 6.307
_cell_length_c 11.819
_cell_angle_alpha 90.00
_cell_angle_beta 90.00
_cell_angle_gamma 105.92
loop_
_symmetry_equiv_pos_as_xyz
'x,y,z'
loop_
_atom_site_label
_atom_site_fract_x
_atom_site_fract_y
_atom_site_fract_z
_atom_site_occupancy
N1 0.266 0.532 0.373 1
N2 0.266 0.532 0.127 1
N3 0.734 0.468 0.627 1
N4 0.000 0.000 0.500 1
N5 0.550 0.100 0.250 1
N6 0.000 0.000 0.000 1
N7 0.734 0.468 0.873 1
N8 0.450 0.900 0.750 1
Ce1 0.368 0.735 0.954 1
Ce2 0.368 0.735 0.546 1
Ce3 0.632 0.265 0.454 1
Ce4 0.632 0.265 0.046 1
Re1 0.148 0.296 0.250 1
Re2 0.852 0.704 0.750 1
La1 0.111 0.223 0.750 1
La2 0.889 0.777 0.250 1
```


Entry from the Alexandria database: crystalline La2CeReN4 at its relaxed geometry (GGA-PBE).

Properties
**D(E_F)**: 6.214 states/eV/f.u.
**Formation energy without anion corrections**: -0.865 eV/atom
**SG**: Cmcm, No. 63
**Theoretical density**: 8.266 Mg/m³

```
data_La2CeReN4
_chemical_formula_sum 'La4 Ce2 Re2 N8'
_symmetry_space_group_name_H-M 'P 1'
_symmetry_Int_Tables_number 1
_cell_length_a 3.513
_cell_length_b 6.295
_cell_length_c 12.491
_cell_angle_alpha 90.00
_cell_angle_beta 90.00
_cell_angle_gamma 106.20
loop_
_symmetry_equiv_pos_as_xyz
'x,y,z'
loop_
_atom_site_label
_atom_site_fract_x
_atom_site_fract_y
_atom_site_fract_z
_atom_site_occupancy
La1 0.633 0.266 0.458 1
La2 0.633 0.266 0.042 1
La3 0.367 0.734 0.542 1
La4 0.367 0.734 0.958 1
N1 0.000 0.000 0.500 1
N2 0.723 0.445 0.856 1
N3 0.000 0.000 0.000 1
N4 0.723 0.445 0.644 1
N5 0.277 0.555 0.144 1
N6 0.427 0.855 0.750 1
N7 0.277 0.555 0.356 1
N8 0.573 0.145 0.250 1
Re1 0.850 0.699 0.750 1
Re2 0.150 0.301 0.250 1
Ce1 0.880 0.761 0.250 1
Ce2 0.120 0.239 0.750 1
```


Entry from the Alexandria database: crystalline La2CeReN5 at its relaxed geometry (GGA-PBE).

Properties
**D(E_F)**: 3.786 states/eV/f.u.
**Formation energy without anion corrections**: -0.759 eV/atom
**SG**: P4/mbm, No. 127
**Theoretical density**: 8.043 Mg/m³

```
data_La2CeReN5
_chemical_formula_sum 'La4 Ce2 Re2 N10'
_symmetry_space_group_name_H-M 'P 1'
_symmetry_Int_Tables_number 1
_cell_length_a 6.045
_cell_length_b 6.786
_cell_length_c 6.786
_cell_angle_alpha 90.00
_cell_angle_beta 90.00
_cell_angle_gamma 90.00
loop_
_symmetry_equiv_pos_as_xyz
'x,y,z'
loop_
_atom_site_label
_atom_site_fract_x
_atom_site_fract_y
_atom_site_fract_z
_atom_site_occupancy
N1 0.779 0.144 0.644 1
N2 0.779 0.644 0.856 1
N3 0.221 0.356 0.144 1
N4 0.221 0.144 0.644 1
N5 0.221 0.644 0.856 1
N6 0.500 0.500 0.500 1
N7 0.221 0.856 0.356 1
N8 0.779 0.356 0.144 1
N9 0.779 0.856 0.356 1
N10 0.500 0.000 0.000 1
La1 0.500 0.168 0.332 1
La2 0.500 0.332 0.832 1
La3 0.500 0.668 0.168 1
La4 0.500 0.832 0.668 1
Ce1 0.000 0.000 0.000 1
Ce2 0.000 0.500 0.500 1
Re1 0.000 0.500 0.000 1
Re2 0.000 0.000 0.500 1
```


Entry from the Alexandria database: crystalline LaCe2RuN4 at its relaxed geometry (GGA-PBE).

Properties
**D(E_F)**: 4.937 states/eV/f.u.
**Formation energy without anion corrections**: -1.068 eV/atom
**SG**: Cmcm, No. 63
**Theoretical density**: 7.798 Mg/m³

```
data_LaCe2RuN4
_chemical_formula_sum 'La2 Ce4 Ru2 N8'
_symmetry_space_group_name_H-M 'P 1'
_symmetry_Int_Tables_number 1
_cell_length_a 3.472
_cell_length_b 6.265
_cell_length_c 11.740
_cell_angle_alpha 90.00
_cell_angle_beta 90.00
_cell_angle_gamma 106.09
loop_
_symmetry_equiv_pos_as_xyz
'x,y,z'
loop_
_atom_site_label
_atom_site_fract_x
_atom_site_fract_y
_atom_site_fract_z
_atom_site_occupancy
Ce1 0.631 0.263 0.449 1
Ce2 0.631 0.263 0.051 1
Ce3 0.369 0.737 0.551 1
Ce4 0.369 0.737 0.949 1
N1 0.000 0.000 0.500 1
N2 0.731 0.463 0.622 1
N3 0.549 0.098 0.250 1
N4 0.000 0.000 0.000 1
N5 0.731 0.463 0.878 1
N6 0.451 0.902 0.750 1
N7 0.269 0.537 0.378 1
N8 0.269 0.537 0.122 1
Ru1 0.150 0.301 0.250 1
Ru2 0.850 0.699 0.750 1
La1 0.109 0.217 0.750 1
La2 0.891 0.783 0.250 1
```


Entry from the Alexandria database: crystalline LaCeRuN3 at its relaxed geometry (GGA-PBE).

Properties
**D(E_F)**: 2.416 states/eV/f.u.
**Formation energy without anion corrections**: -0.838 eV/atom
**SG**: P2_1/m, No. 11
**Theoretical density**: 7.102 Mg/m³

```
data_LaCeRuN3
_chemical_formula_sum 'La2 Ce2 Ru2 N6'
_symmetry_space_group_name_H-M 'P 1'
_symmetry_Int_Tables_number 1
_cell_length_a 3.452
_cell_length_b 7.583
_cell_length_c 7.634
_cell_angle_alpha 98.98
_cell_angle_beta 90.00
_cell_angle_gamma 90.00
loop_
_symmetry_equiv_pos_as_xyz
'x,y,z'
loop_
_atom_site_label
_atom_site_fract_x
_atom_site_fract_y
_atom_site_fract_z
_atom_site_occupancy
Ce1 0.250 0.642 0.173 1
Ce2 0.750 0.358 0.827 1
N1 0.250 0.128 0.856 1
N2 0.750 0.872 0.144 1
N3 0.750 0.180 0.463 1
N4 0.250 0.820 0.537 1
N5 0.250 0.585 0.871 1
N6 0.750 0.415 0.129 1
La1 0.250 0.171 0.187 1
La2 0.750 0.829 0.813 1
Ru1 0.250 0.098 0.584 1
Ru2 0.750 0.902 0.416 1
```


Entry from the Alexandria database: crystalline La2CeRuN4 at its relaxed geometry (GGA-PBE).

Properties
**D(E_F)**: 3.493 states/eV/f.u.
**Formation energy without anion corrections**: -0.879 eV/atom
**SG**: Cmcm, No. 63
**Theoretical density**: 7.511 Mg/m³

```
data_La2CeRuN4
_chemical_formula_sum 'La4 Ce2 Ru2 N8'
_symmetry_space_group_name_H-M 'P 1'
_symmetry_Int_Tables_number 1
_cell_length_a 3.450
_cell_length_b 6.262
_cell_length_c 12.241
_cell_angle_alpha 90.00
_cell_angle_beta 90.00
_cell_angle_gamma 105.99
loop_
_symmetry_equiv_pos_as_xyz
'x,y,z'
loop_
_atom_site_label
_atom_site_fract_x
_atom_site_fract_y
_atom_site_fract_z
_atom_site_occupancy
La1 0.632 0.264 0.049 1
La2 0.368 0.736 0.549 1
La3 0.368 0.736 0.951 1
La4 0.632 0.264 0.451 1
N1 0.000 0.000 0.000 1
N2 0.717 0.434 0.643 1
N3 0.547 0.095 0.250 1
N4 0.000 0.000 0.500 1
N5 0.283 0.566 0.357 1
N6 0.283 0.566 0.143 1
N7 0.717 0.434 0.857 1
N8 0.453 0.905 0.750 1
Ce1 0.109 0.218 0.750 1
Ce2 0.891 0.782 0.250 1
Ru1 0.154 0.308 0.250 1
Ru2 0.846 0.692 0.750 1
```


Entry from the Alexandria database: crystalline LaCeSN at its relaxed geometry (GGA-PBE).

Properties
**D(E_F)**: 4.035 states/eV/f.u.
**Formation energy without anion corrections**: -1.744 eV/atom
**SG**: R3m, No. 160
**Theoretical density**: 6.586 Mg/m³

```
data_LaCeSN
_chemical_formula_sum 'La1 Ce1 S1 N1'
_symmetry_space_group_name_H-M 'P 1'
_symmetry_Int_Tables_number 1
_cell_length_a 3.806
_cell_length_b 3.806
_cell_length_c 6.894
_cell_angle_alpha 106.04
_cell_angle_beta 90.00
_cell_angle_gamma 120.00
loop_
_symmetry_equiv_pos_as_xyz
'x,y,z'
loop_
_atom_site_label
_atom_site_fract_x
_atom_site_fract_y
_atom_site_fract_z
_atom_site_occupancy
La1 0.105 0.030 0.150 1
S1 0.340 0.499 0.854 1
Ce1 0.581 0.980 0.576 1
N1 0.852 0.522 0.389 1
```


Entry from the Alexandria database: crystalline LaCeS2N at its relaxed geometry (GGA-PBE).

Properties
**D(E_F)**: 1.722 states/eV/f.u.
**Formation energy without anion corrections**: -1.832 eV/atom
**SG**: P4/nmm, No. 129
**Theoretical density**: 5.101 Mg/m³

```
data_LaCeS2N
_chemical_formula_sum 'La2 Ce2 S4 N2'
_symmetry_space_group_name_H-M 'P 1'
_symmetry_Int_Tables_number 1
_cell_length_a 4.019
_cell_length_b 4.019
_cell_length_c 14.394
_cell_angle_alpha 90.00
_cell_angle_beta 90.00
_cell_angle_gamma 90.00
loop_
_symmetry_equiv_pos_as_xyz
'x,y,z'
loop_
_atom_site_label
_atom_site_fract_x
_atom_site_fract_y
_atom_site_fract_z
_atom_site_occupancy
S1 0.500 0.000 0.313 1
S2 0.000 0.500 0.089 1
S3 0.000 0.500 0.687 1
S4 0.500 0.000 0.911 1
Ce1 0.000 0.500 0.422 1
Ce2 0.500 0.000 0.578 1
La1 0.500 0.000 0.130 1
La2 0.000 0.500 0.870 1
N1 0.500 0.500 0.500 1
N2 0.000 0.000 0.500 1
```


Entry from the Alexandria database: crystalline La2CeSe2N2 at its relaxed geometry (GGA-PBE).

Properties
**Formation energy without anion corrections**: -1.632 eV/atom
**SG**: I4/mmm, No. 139
**Theoretical density**: 6.439 Mg/m³

```
data_La2CeSe2N2
_chemical_formula_sum 'La2 Ce1 Se2 N2'
_symmetry_space_group_name_H-M 'P 1'
_symmetry_Int_Tables_number 1
_cell_length_a 4.466
_cell_length_b 4.466
_cell_length_c 8.422
_cell_angle_alpha 105.38
_cell_angle_beta 105.38
_cell_angle_gamma 90.00
loop_
_symmetry_equiv_pos_as_xyz
'x,y,z'
loop_
_atom_site_label
_atom_site_fract_x
_atom_site_fract_y
_atom_site_fract_z
_atom_site_occupancy
N1 0.500 0.000 0.000 1
N2 0.000 0.500 0.000 1
Se1 0.815 0.815 0.630 1
Se2 0.185 0.185 0.370 1
Ce1 0.000 0.000 0.000 1
La1 0.383 0.383 0.765 1
La2 0.617 0.617 0.235 1
```


Entry from the Alexandria database: crystalline LaCeSe2N at its relaxed geometry (GGA-PBE).

Properties
**D(E_F)**: 0.708 states/eV/f.u.
**Formation energy without anion corrections**: -1.735 eV/atom
**SG**: P4/nmm, No. 129
**Theoretical density**: 5.869 Mg/m³

```
data_LaCeSe2N
_chemical_formula_sum 'La2 Ce2 Se4 N2'
_symmetry_space_group_name_H-M 'P 1'
_symmetry_Int_Tables_number 1
_cell_length_a 4.115
_cell_length_b 4.115
_cell_length_c 15.070
_cell_angle_alpha 90.00
_cell_angle_beta 90.00
_cell_angle_gamma 90.00
loop_
_symmetry_equiv_pos_as_xyz
'x,y,z'
loop_
_atom_site_label
_atom_site_fract_x
_atom_site_fract_y
_atom_site_fract_z
_atom_site_occupancy
Se1 0.000 0.500 0.683 1
Se2 0.000 0.500 0.087 1
Se3 0.500 0.000 0.913 1
Se4 0.500 0.000 0.317 1
N1 0.000 0.000 0.500 1
N2 0.500 0.500 0.500 1
Ce1 0.000 0.500 0.429 1
Ce2 0.500 0.000 0.571 1
La1 0.000 0.500 0.867 1
La2 0.500 0.000 0.133 1
```


Entry from the Alexandria database: crystalline LaCe2Se2N2 at its relaxed geometry (GGA-PBE).

Properties
**D(E_F)**: 8.829 states/eV/f.u.
**Formation energy without anion corrections**: -1.728 eV/atom
**SG**: C2/m, No. 12
**Theoretical density**: 6.027 Mg/m³

```
data_LaCe2Se2N2
_chemical_formula_sum 'La1 Ce2 Se2 N2'
_symmetry_space_group_name_H-M 'P 1'
_symmetry_Int_Tables_number 1
_cell_length_a 4.018
_cell_length_b 7.212
_cell_length_c 7.189
_cell_angle_alpha 57.58
_cell_angle_beta 73.77
_cell_angle_gamma 73.82
loop_
_symmetry_equiv_pos_as_xyz
'x,y,z'
loop_
_atom_site_label
_atom_site_fract_x
_atom_site_fract_y
_atom_site_fract_z
_atom_site_occupancy
Ce1 0.780 0.676 0.765 1
Ce2 0.220 0.324 0.235 1
N1 0.809 0.327 0.055 1
N2 0.191 0.673 0.945 1
Se1 0.404 0.820 0.373 1
Se2 0.596 0.180 0.627 1
La1 0.000 0.000 0.000 1
```


Entry from the Alexandria database: crystalline La4Ce3SiN8 at its relaxed geometry (GGA-PBE).

Properties
**D(E_F)**: 9.048 states/eV/f.u.
**Formation energy without anion corrections**: -1.077 eV/atom
**SG**: R-3m, No. 166
**Theoretical density**: 6.844 Mg/m³

```
data_La4Ce3SiN8
_chemical_formula_sum 'La4 Ce3 Si1 N8'
_symmetry_space_group_name_H-M 'P 1'
_symmetry_Int_Tables_number 1
_cell_length_a 7.284
_cell_length_b 7.239
_cell_length_c 7.284
_cell_angle_alpha 120.20
_cell_angle_beta 120.00
_cell_angle_gamma 90.00
loop_
_symmetry_equiv_pos_as_xyz
'x,y,z'
loop_
_atom_site_label
_atom_site_fract_x
_atom_site_fract_y
_atom_site_fract_z
_atom_site_occupancy
La1 0.000 0.000 0.000 1
La2 0.500 0.000 0.500 1
La3 0.500 0.000 0.000 1
La4 0.000 0.000 0.500 1
N1 0.272 0.268 0.020 1
N2 0.728 0.732 0.980 1
N3 0.744 0.731 0.487 1
N4 0.256 0.269 0.513 1
N5 0.748 0.268 0.496 1
N6 0.252 0.732 0.504 1
N7 0.748 0.268 0.020 1
N8 0.252 0.732 0.980 1
Si1 0.000 0.500 0.000 1
Ce1 0.500 0.500 0.500 1
Ce2 0.000 0.500 0.500 1
Ce3 0.500 0.500 0.000 1
```


| no. | raw total energy (eV/atom) |
| --- | --- |
| 1 | -8.863 |
| 2 | -8.558 |
| 3 | -8.522 |
| 4 | -8.490 |
| 5 | -8.357 |
| 6 | -8.174 |
| 7 | -7.573 |
| 8 | -7.321 |
| 9 | -7.261 |
| 10 | -6.966 |
| 11 | -7.502 |
| 12 | -7.923 |